# 1
## YIn5 (PBE)

Data for crystalline YIn5 at its relaxed geometry.

abc: 7.6686 7.6686 4.5768
angles: 90.00 90.00 144.87
Fractional positions:
Y1 0.0000 0.0000 0.0000
In1 0.1683 0.8317 0.5000
In2 0.3360 0.6640 0.0000
In3 0.5000 0.5000 0.5000
In4 0.6640 0.3360 0.0000
In5 0.8317 0.1683 0.5000

Computed properties:
energy above the lowest structure with this stoichiometry = 0.000 eV/atom
magnetization = 0.00 μB per cell
Fermi-level density of states = 3.33 states/eV/cell
total energy = -21.37 eV per cell
E_form = -0.20 eV/atom
symmetry = Cmmm, No. 65

# 2
## TbDy6Th2 (PBE)

Data for crystalline TbDy6Th2 at its relaxed geometry.

abc: 9.5135 9.5135 6.7337
angles: 101.76 101.76 83.96
Fractional positions:
Tb1 0.1373 0.8627 0.7500
Tb2 0.8627 0.1373 0.2500
Dy1 0.0193 0.4437 0.2463
Dy2 0.0240 0.2065 0.7846
Dy3 0.2065 0.0240 0.2846
Dy4 0.3508 0.6448 0.4852
Dy5 0.3552 0.6492 0.0148
Dy6 0.4437 0.0193 0.7463
Dy7 0.5563 0.9807 0.2537
Dy8 0.6448 0.3508 0.9852
Dy9 0.6492 0.3552 0.5148
Dy10 0.7935 0.9760 0.7154
Dy11 0.9760 0.7935 0.2154
Dy12 0.9807 0.5563 0.7537
Th1 0.2995 0.3430 0.6278
Th2 0.3430 0.2995 0.1278
Th3 0.6570 0.7005 0.8722
Th4 0.7005 0.6570 0.3722

Computed properties:
energy above the lowest structure with this stoichiometry = 0.112 eV/atom
magnetization = 0.00 μB per cell
Fermi-level density of states = 25.77 states/eV/cell
total energy = -90.87 eV per cell
E_form = 0.18 eV/atom
symmetry = C2/c, No. 15